(1)
MgCl2 | GGA-PBE | optimized geometry

a = 4.421 Å, b = 7.522 Å, c = 9.580 Å
α = 90.00°, β = 90.00°, γ = 90.00°
Space group Cmcm (No. 63)
Symmetry-distinct sites (fractional):
Mg  0.000  0.004  0.250
Cl  0.000  0.000  0.000
Cl  0.000  0.339  0.250

Summary:
Its magnetic moment is 0.000 μB/f.u. As for the formation energy from raw total energies: -1662 meV per atom.

---

(2)
Li2LuAg | GGA-PBE | optimized geometry

a = 3.1163 Å, b = 3.1163 Å, c = 30.9427 Å
α = 90.00°, β = 90.00°, γ = 120.00°
Space group R-3m (No. 166, hexagonal axes)
Symmetry-distinct sites (fractional):
Li  0.0000  0.0000  0.0978
Lu  0.0000  0.0000  0.0000
Ag  0.0000  0.0000  0.5000

Summary:
Its magnetic moment is 0.000 μB/f.u. Its formation energy is 128 meV/atom.

---

(3)
La3BeBr | GGA-PBE | optimized geometry

a = 5.539 Å, b = 5.539 Å, c = 5.539 Å
α = 90.00°, β = 90.00°, γ = 90.00°
Space group Pm-3m (No. 221)
Symmetry-distinct sites (fractional):
La  0.000  0.000  0.500
Be  0.000  0.000  0.000
Br  0.500  0.500  0.500

Summary:
Its magnetic moment is 0.005 μB/f.u. As for the formation energy from raw total energies: 28 meV per atom.

---

(4)
Ti2MnAg | GGA-PBE | optimized geometry

a = 4.378 Å, b = 4.378 Å, c = 3.185 Å
α = 90.00°, β = 90.00°, γ = 90.00°
Space group P4/mmm (No. 123)
Symmetry-distinct sites (fractional):
Ti  0.000  0.500  0.000
Mn  0.000  0.000  0.500
Ag  0.500  0.500  0.500

Summary:
Its magnetic moment is 0.088 μB/f.u. Its formation energy is 68 meV/atom.

---

(5)
AcCrSb2 | GGA-PBE | optimized geometry

a = 4.9166 Å, b = 4.9166 Å, c = 26.3095 Å
α = 90.00°, β = 90.00°, γ = 120.00°
Space group R-3m (No. 166, hexagonal axes)
Symmetry-distinct sites (fractional):
Ac  0.0000  0.0000  0.0000
Cr  0.0000  0.0000  0.5000
Sb  0.0000  0.0000  0.4012

Summary:
Its magnetic moment is 3.396 μB/f.u. As for the formation energy from raw total energies: 296 meV per atom.

---

(6)
Ba2PtO | GGA-PBE | optimized geometry

a = 4.1938 Å, b = 4.1938 Å, c = 21.6556 Å
α = 90.00°, β = 90.00°, γ = 120.00°
Space group R-3m (No. 166, hexagonal axes)
Symmetry-distinct sites (fractional):
Ba  0.0000  0.0000  0.2383
Pt  0.0000  0.0000  0.0000
O  0.0000  0.0000  0.5000

Summary:
Its magnetic moment is 0.000 μB/f.u. As for the formation energy from raw total energies: -1469 meV per atom.